(1)
First-principles (GGA-PBE) data for TlCo2Re after structural relaxation, as listed in the Alexandria database.

a b c (Å): 4.3526 4.3526 4.3526
angles (deg): 60.00 60.00 60.00
Last column: nearest neighbours and their distance in Å.
Sites, in units of the cell vectors:
Tl: 0.0000 0.0000 0.0000  8 Co 2.67
Co: 0.2500 0.2500 0.2500  4 Re 2.67, 4 Tl 2.67
Co: 0.7500 0.7500 0.7500  4 Re 2.67, 4 Tl 2.67
Re: 0.5000 0.5000 0.5000  8 Co 2.67

Computed properties:
space group	No. 225
ΔE_f	0.6486	eV per atom


(2)
First-principles (GGA-PBE) data for SrTeRu after structural relaxation, as listed in the Alexandria database.

a b c (Å): 5.1809 5.1809 5.1809
angles (deg): 60.00 60.00 60.00
Last column: nearest neighbours and their distance in Å.
Sites, in units of the cell vectors:
Sr: 0.0000 0.0000 0.0000  4 Ru 3.17, 4 Te 3.17
Te: 0.2500 0.2500 0.2500  4 Sr 3.17
Ru: 0.7500 0.7500 0.7500  4 Sr 3.17

Computed properties:
formation energy (no corrections)	670	meV/atom
space group	No. 216


(3)
First-principles (GGA-PBE) data for Pm14PrIn after structural relaxation, as listed in the Alexandria database.

a b c (Å): 10.2400 7.2277 7.2277
angles (deg): 90.00 90.00 90.00
Last column: nearest neighbours and their distance in Å.
Sites, in units of the cell vectors:
Pm: 0.0000 0.0000 0.0000  12 Pm 3.61-3.62
Pm: 0.0000 0.9997 0.5000  12 Pm 3.61-3.65
Pm: 0.0000 0.5000 0.9997  12 Pm 3.61-3.65
Pm: 0.0000 0.4996 0.4996  12 Pm 3.61-3.67
Pm: 0.2538 0.2469 0.2469  1 In 3.57, 10 Pm 3.57-3.66, 1 Pr 3.61
Pm: 0.2538 0.2469 0.7526  1 In 3.57, 10 Pm 3.57-3.67, 1 Pr 3.61
Pm: 0.2538 0.7526 0.2469  1 In 3.57, 10 Pm 3.57-3.67, 1 Pr 3.61
Pm: 0.2538 0.7528 0.7528  1 In 3.57, 10 Pm 3.57-3.67, 1 Pr 3.61
Pm: 0.5000 0.0000 0.4992  8 Pm 3.59, 2 In 3.61-3.62, 2 Pr 3.61
Pm: 0.5000 0.4992 0.0000  8 Pm 3.59, 2 In 3.61-3.62, 2 Pr 3.61
Pm: 0.7462 0.2469 0.2469  1 In 3.57, 10 Pm 3.57-3.66, 1 Pr 3.61
Pm: 0.7462 0.2469 0.7526  1 In 3.57, 10 Pm 3.57-3.67, 1 Pr 3.61
Pm: 0.7462 0.7526 0.2469  1 In 3.57, 10 Pm 3.57-3.67, 1 Pr 3.61
Pm: 0.7462 0.7528 0.7528  1 In 3.57, 10 Pm 3.57-3.67, 1 Pr 3.61
Pr: 0.5000 0.5000 0.5000  12 Pm 3.61
In: 0.5000 0.9995 0.9995  12 Pm 3.57-3.62

Computed properties:
space group	No. 38
ΔE_f	-0.0341	eV per atom


(4)
First-principles (GGA-PBE) data for Sr12Cd3H5 after structural relaxation, as listed in the Alexandria database.

a b c (Å): 15.1147 15.1147 15.1147
angles (deg): 109.47 109.47 109.47
Last column: nearest neighbours and their distance in Å.
Sites, in units of the cell vectors:
Sr: 0.0172 0.2079 0.1167  1 H 2.47
Sr: 0.0172 0.3093 0.9005  1 H 2.47
Sr: 0.0912 0.7079 0.6907  1 H 2.47
Sr: 0.0912 0.8833 0.4005  1 H 2.47
Sr: 0.0995 0.6167 0.4088  1 H 2.47
Sr: 0.0995 0.9828 0.6907  1 H 2.47
Sr: 0.1167 0.0172 0.2079  1 H 2.47
Sr: 0.1167 0.5995 0.9088  1 H 2.47
Sr: 0.1907 0.2079 0.5912  1 H 2.47
Sr: 0.1907 0.4828 0.5995  1 H 2.47
Sr: 0.2079 0.1167 0.0172  1 H 2.47
Sr: 0.2079 0.5912 0.1907  1 H 2.47
Sr: 0.2921 0.3093 0.9088  1 H 2.47
Sr: 0.2921 0.4828 0.3833  1 H 2.47
Sr: 0.3093 0.9005 0.0172  1 H 2.47
Sr: 0.3093 0.9088 0.2921  1 H 2.47
Sr: 0.3833 0.2921 0.4828  1 H 2.47
Sr: 0.3833 0.5912 0.9005  1 H 2.47
Sr: 0.4005 0.0912 0.8833  1 H 2.47
Sr: 0.4005 0.8093 0.5172  1 H 2.47
Sr: 0.4088 0.0995 0.6167  1 H 2.47
Sr: 0.4088 0.8093 0.7921  1 H 2.47
Sr: 0.4828 0.3833 0.2921  1 H 2.47
Sr: 0.4828 0.5995 0.1907  1 H 2.47
Sr: 0.5172 0.4005 0.8093  1 H 2.47
Sr: 0.5172 0.6167 0.7079  1 H 2.47
Sr: 0.5912 0.1907 0.2079  1 H 2.47
Sr: 0.5912 0.9005 0.3833  1 H 2.47
Sr: 0.5995 0.1907 0.4828  1 H 2.47
Sr: 0.5995 0.9088 0.1167  1 H 2.47
Sr: 0.6167 0.4088 0.0995  1 H 2.47
Sr: 0.6167 0.7079 0.5172  1 H 2.47
Sr: 0.6907 0.0912 0.7079  1 H 2.47
Sr: 0.6907 0.0995 0.9828  1 H 2.47
Sr: 0.7079 0.5172 0.6167  1 H 2.47
Sr: 0.7079 0.6907 0.0912  1 H 2.47
Sr: 0.7921 0.4088 0.8093  1 H 2.47
Sr: 0.7921 0.8833 0.9828  1 H 2.47
Sr: 0.8093 0.5172 0.4005  1 H 2.47
Sr: 0.8093 0.7921 0.4088  1 H 2.47
Sr: 0.8833 0.4005 0.0912  1 H 2.47
Sr: 0.8833 0.9828 0.7921  1 H 2.47
Sr: 0.9005 0.0172 0.3093  1 H 2.47
Sr: 0.9005 0.3833 0.5912  1 H 2.47
Sr: 0.9088 0.1167 0.5995  1 H 2.47
Sr: 0.9088 0.2921 0.3093  1 H 2.47
Sr: 0.9828 0.6907 0.0995  1 H 2.47
Sr: 0.9828 0.7921 0.8833  1 H 2.47
Cd: 0.1250 0.2500 0.3750  8 Sr 3.42-3.51
Cd: 0.1250 0.3750 0.7500  8 Sr 3.42-3.51
Cd: 0.2500 0.3750 0.1250  8 Sr 3.42-3.51
Cd: 0.2500 0.8750 0.6250  8 Sr 3.42-3.51
Cd: 0.3750 0.1250 0.2500  8 Sr 3.42-3.51
Cd: 0.3750 0.7500 0.1250  8 Sr 3.42-3.51
Cd: 0.6250 0.2500 0.8750  8 Sr 3.42-3.51
Cd: 0.6250 0.8750 0.7500  8 Sr 3.42-3.51
Cd: 0.7500 0.1250 0.3750  8 Sr 3.42-3.51
Cd: 0.7500 0.6250 0.8750  8 Sr 3.42-3.51
Cd: 0.8750 0.6250 0.2500  8 Sr 3.42-3.51
Cd: 0.8750 0.7500 0.6250  8 Sr 3.42-3.51
H: 0.0000 0.0000 0.0000  6 Sr 2.92
H: 0.0000 0.0000 0.5000  6 Sr 2.92
H: 0.0000 0.5000 0.0000  6 Sr 2.92
H: 0.0000 0.5000 0.5000  6 Sr 2.92
H: 0.1250 0.7500 0.8750  4 Sr 2.47
H: 0.1250 0.8750 0.2500  4 Sr 2.47
H: 0.2500 0.1250 0.8750  4 Sr 2.47
H: 0.2500 0.6250 0.3750  4 Sr 2.47
H: 0.3750 0.2500 0.6250  4 Sr 2.47
H: 0.3750 0.6250 0.7500  4 Sr 2.47
H: 0.5000 0.0000 0.0000  6 Sr 2.92
H: 0.5000 0.0000 0.5000  6 Sr 2.92
H: 0.5000 0.5000 0.0000  6 Sr 2.92
H: 0.5000 0.5000 0.5000  6 Sr 2.92
H: 0.6250 0.3750 0.2500  4 Sr 2.47
H: 0.6250 0.7500 0.3750  4 Sr 2.47
H: 0.7500 0.3750 0.6250  4 Sr 2.47
H: 0.7500 0.8750 0.1250  4 Sr 2.47
H: 0.8750 0.1250 0.7500  4 Sr 2.47
H: 0.8750 0.2500 0.1250  4 Sr 2.47

Computed properties:
space group	No. 230


(5)
First-principles (GGA-PBE) data for LiVGa2 after structural relaxation, as listed in the Alexandria database.

a b c (Å): 2.6783 2.6783 8.1688
angles (deg): 90.00 90.00 90.00
Last column: nearest neighbours and their distance in Å.
Sites, in units of the cell vectors:
Li: 0.0000 0.0000 0.0000  4 Li 2.68, 8 Ga 2.82
V: 0.0000 0.0000 0.5000  4 V 2.68, 8 Ga 2.75
Ga: 0.5000 0.5000 0.2564  4 Ga 2.68, 4 V 2.75, 4 Li 2.82
Ga: 0.5000 0.5000 0.7436  4 Ga 2.68, 4 V 2.75, 4 Li 2.82

Computed properties:
space group	No. 123
ΔE_f	-0.2164	eV per atom


(6)
First-principles (GGA-PBE) data for Mg2RuPt after structural relaxation, as listed in the Alexandria database.

a b c (Å): 2.9412 3.4298 6.2347
angles (deg): 90.00 90.00 90.00
Last column: nearest neighbours and their distance in Å.
Sites, in units of the cell vectors:
Mg: 0.0000 0.0000 0.2478  4 Pt 2.74, 4 Ru 2.75, 2 Mg 2.94
Mg: 0.0000 0.0000 0.7522  4 Pt 2.74, 4 Ru 2.75, 2 Mg 2.94
Ru: 0.5000 0.5000 0.5000  8 Mg 2.75, 2 Ru 2.94
Pt: 0.5000 0.5000 0.0000  8 Mg 2.74, 2 Pt 2.94

Computed properties:
space group	No. 47
ΔE_f	-0.3260	eV per atom


(7)
First-principles (GGA-PBE) data for CrGaSiSn2 after structural relaxation, as listed in the Alexandria database.

a b c (Å): 5.2142 5.2142 4.7956
angles (deg): 90.00 90.00 90.00
Last column: nearest neighbours and their distance in Å.
Sites, in units of the cell vectors:
Cr: 0.0000 0.0000 0.0000  2 Ga 2.40
Ga: 0.0000 0.0000 0.5000  2 Cr 2.40, 4 Sn 2.61
Si: 0.5000 0.5000 0.0000  8 Sn 3.54, 4 Cr 3.69
Sn: 0.0000 0.5000 0.5000  2 Ga 2.61
Sn: 0.5000 0.0000 0.5000  2 Ga 2.61

Computed properties:
formation energy (no corrections)	929	meV/atom
space group	No. 123


(8)
First-principles (GGA-PBE) data for BiOsSe2 after structural relaxation, as listed in the Alexandria database.

a b c (Å): 6.6921 6.6921 6.6921
angles (deg): 119.18 119.18 91.42
Last column: nearest neighbours and their distance in Å.
Sites, in units of the cell vectors:
Bi: 0.0000 0.0000 0.0000  4 Se 3.01
Bi: 0.7500 0.2500 0.5000  4 Se 3.01
Os: 0.2500 0.7500 0.5000  4 Se 2.38
Os: 0.5000 0.5000 0.0000  4 Se 2.38
Se: 0.1991 0.1250 0.5741  2 Os 2.38
Se: 0.3750 0.8009 0.9259  2 Os 2.38
Se: 0.5509 0.6250 0.4259  2 Os 2.38
Se: 0.8750 0.4491 0.0741  2 Os 2.38

Computed properties:
formation energy (no corrections)	376	meV/atom
space group	No. 122


| no. | final energy (Ry/atom) | DOS(E_F) (states/eV per atom) |
| --- | --- | --- |
| 1 | -0.4857 | 0.1616 |
| 2 | -0.2962 | 2.8254 |
| 3 | -0.3426 | 1.2986 |
| 4 | -0.1646 | 0.6749 |
| 5 | -0.3299 | 0.8174 |
| 6 | -0.3640 | 0.7636 |
| 7 | -0.3151 | 0.7021 |
| 8 | -0.3781 | 0.8500 |